a:
Here is a geometry-optimized MnGaPH structure from the Alexandria database. Energies are from PBE.

Properties
- space-group type = No. 8
- DOS at the Fermi energy (states/eV per cell) = 0.32

a b c (Å): 2.972 4.116 4.613
angles (deg): 74.78 71.16 68.82
Sites, in units of the cell vectors:
Mn: 0.314 0.850 0.795
Ga: 0.642 0.731 0.256
P: 0.598 0.265 0.812
H: 0.340 0.119 0.475

---

b:
Here is a geometry-optimized MnGaPH structure from the Alexandria database. Energies are from PBE.

Properties
- space-group type = No. 99
- DOS at the Fermi energy (states/eV per cell) = 1.67

a b c (Å): 2.813 2.813 6.362
angles (deg): 90.00 90.00 90.00
Sites, in units of the cell vectors:
Mn: 0.000 0.000 0.829
Ga: 0.500 0.500 0.103
P: 0.500 0.500 0.664
H: 0.500 0.500 0.426

---

c:
Here is a geometry-optimized MnGaPH structure from the Alexandria database. Energies are from PBE.

Properties
- space-group type = No. 99
- DOS at the Fermi energy (states/eV per cell) = 0.67

a b c (Å): 2.909 2.909 5.097
angles (deg): 90.00 90.00 90.00
Sites, in units of the cell vectors:
Mn: 0.000 0.000 0.805
Ga: 0.500 0.500 0.114
P: 0.500 0.500 0.578
H: 0.000 0.000 0.124

---

Taking the most stable structure as the zero point, the relative energies in eV/atom are a 0.054; b 0.036; c 0.000.

---

a:
Here is a geometry-optimized MnGaPH structure from the Alexandria database. Energies are from PBE.

Properties
- space-group type = No. 8
- DOS at the Fermi energy (states/eV per cell) = 2.42

a b c (Å): 2.752 2.753 7.366
angles (deg): 100.75 100.42 90.00
Sites, in units of the cell vectors:
Mn: 0.353 0.821 0.781
Ga: 0.981 0.453 0.045
P: 0.778 0.244 0.627
H: 0.681 0.144 0.425

---

b:
Here is a geometry-optimized MnGaPH structure from the Alexandria database. Energies are from PBE.

Properties
- space-group type = No. 8
- DOS at the Fermi energy (states/eV per cell) = 0.59

a b c (Å): 5.301 2.897 7.755
angles (deg): 90.00 124.15 90.00
Sites, in units of the cell vectors:
Mn: 0.725 0.000 0.447
Mn: 0.725 0.500 0.947
Ga: 0.267 0.000 0.719
Ga: 0.267 0.500 0.219
P: 0.705 0.000 0.154
P: 0.705 0.500 0.654
H: 0.901 0.000 0.946
H: 0.901 0.500 0.446

---

c:
Here is a geometry-optimized MnGaPH structure from the Alexandria database. Energies are from PBE.

Properties
- space-group type = No. 1

a b c (Å): 3.031 4.103 4.643
angles (deg): 96.56 109.03 111.68
Sites, in units of the cell vectors:
Mn: 0.504 0.518 0.384
Ga: 0.771 0.501 0.935
P: 0.783 0.102 0.358
H: 0.831 0.856 0.703

---

Taking the most stable structure as the zero point, the relative energies in eV/atom are a 0.035; b 0.000; c 0.020.

---

a:
Here is a geometry-optimized MnGaPH structure from the Alexandria database. Energies are from PBE.

Properties
- space-group type = No. 6
- DOS at the Fermi energy (states/eV per cell) = 0.77

a b c (Å): 2.859 2.900 5.718
angles (deg): 90.00 105.10 90.00
Sites, in units of the cell vectors:
Mn: 0.395 0.500 0.182
Ga: 0.203 0.000 0.808
P: 0.999 0.000 0.381
H: 0.804 0.500 0.009

---

b:
Here is a geometry-optimized MnGaPH structure from the Alexandria database. Energies are from PBE.

Properties
- space-group type = No. 8
- DOS at the Fermi energy (states/eV per cell) = 4.09

a b c (Å): 7.569 2.818 5.348
angles (deg): 90.00 101.55 90.00
Sites, in units of the cell vectors:
Mn: 0.799 0.000 0.168
Mn: 0.799 0.500 0.668
Ga: 0.072 0.000 0.574
Ga: 0.072 0.500 0.074
P: 0.618 0.000 0.796
P: 0.618 0.500 0.296
H: 0.423 0.000 0.739
H: 0.423 0.500 0.239

---

c:
Here is a geometry-optimized MnGaPH structure from the Alexandria database. Energies are from PBE.

Properties
- space-group type = No. 25
- DOS at the Fermi energy (states/eV per cell) = 0.87

a b c (Å): 2.908 2.908 5.208
angles (deg): 90.00 90.00 90.00
Sites, in units of the cell vectors:
Mn: 0.000 0.000 0.815
Ga: 0.000 0.500 0.209
P: 0.500 0.500 0.603
H: 0.500 0.000 0.994

---

d:
Here is a geometry-optimized MnGaPH structure from the Alexandria database. Energies are from PBE.

Properties
- space-group type = No. 160
- DOS at the Fermi energy (states/eV per cell) = 5.56

a b c (Å): 2.821 2.821 20.462
angles (deg): 90.00 90.00 120.00
Sites, in units of the cell vectors:
Mn: 0.000 0.000 0.944
Mn: 0.333 0.667 0.611
Mn: 0.667 0.333 0.278
Ga: 0.000 0.000 0.080
Ga: 0.333 0.667 0.747
Ga: 0.667 0.333 0.413
P: 0.000 0.000 0.203
P: 0.333 0.667 0.870
P: 0.667 0.333 0.536
H: 0.000 0.000 0.647
H: 0.333 0.667 0.313
H: 0.667 0.333 0.980

---

Taking the most stable structure as the zero point, the relative energies in eV/atom are a 0.013; b 0.128; c 0.000; d 0.091.

---

a:
Here is a geometry-optimized MnGaPH structure from the Alexandria database. Energies are from PBE.

Properties
- space-group type = No. 156
- DOS at the Fermi energy (states/eV per cell) = 1.80

a b c (Å): 3.034 3.034 5.699
angles (deg): 90.00 90.00 120.00
Sites, in units of the cell vectors:
Mn: 0.000 0.000 0.126
Ga: 0.667 0.333 0.793
P: 0.667 0.333 0.378
H: 0.333 0.667 0.082

---

b:
Here is a geometry-optimized MnGaPH structure from the Alexandria database. Energies are from PBE.

Properties
- space-group type = No. 8
- DOS at the Fermi energy (states/eV per cell) = 0.81

a b c (Å): 4.191 2.906 7.708
angles (deg): 90.00 101.04 90.00
Sites, in units of the cell vectors:
Mn: 0.686 0.000 0.372
Mn: 0.686 0.500 0.872
Ga: 0.223 0.000 0.932
Ga: 0.223 0.500 0.432
P: 0.755 0.000 0.665
P: 0.755 0.500 0.165
H: 0.358 0.000 0.231
H: 0.358 0.500 0.731

---

c:
Here is a geometry-optimized MnGaPH structure from the Alexandria database. Energies are from PBE.

Properties
- space-group type = No. 8
- DOS at the Fermi energy (states/eV per cell) = 0.02

a b c (Å): 3.033 4.059 4.596
angles (deg): 92.25 109.26 111.93
Sites, in units of the cell vectors:
P: 0.024 0.750 0.820
Mn: 0.695 0.153 0.759
Ga: 0.030 0.256 0.328
H: 0.393 0.876 0.432

---

Taking the most stable structure as the zero point, the relative energies in eV/atom are a 0.047; b 0.060; c 0.000.

---

a:
Here is a geometry-optimized GaMoH2 structure from the Alexandria database. Energies are from PBE.

Properties
- space-group type = No. 6
- DOS at the Fermi energy (states/eV per cell) = 4.28

a b c (Å): 4.830 3.084 5.245
angles (deg): 90.00 91.38 90.00
Sites, in units of the cell vectors:
Ga: 0.594 0.000 0.853
Ga: 0.063 0.500 0.705
Mo: 0.376 0.000 0.383
Mo: 0.874 0.500 0.184
H: 0.761 0.000 0.396
H: 0.477 0.500 0.172
H: 0.100 0.000 0.113
H: 0.475 0.500 0.562

---

b:
Here is a geometry-optimized GaMoH2 structure from the Alexandria database. Energies are from PBE.

Properties
- space-group type = No. 8
- DOS at the Fermi energy (states/eV per cell) = 3.12

a b c (Å): 5.161 3.130 9.674
angles (deg): 90.00 101.39 90.00
Sites, in units of the cell vectors:
Ga: 0.453 0.000 0.226
Ga: 0.453 0.500 0.726
Ga: 0.956 0.000 0.827
Ga: 0.956 0.500 0.327
Mo: 0.506 0.000 0.954
Mo: 0.506 0.500 0.454
Mo: 0.088 0.000 0.562
Mo: 0.088 0.500 0.062
H: 0.694 0.000 0.123
H: 0.694 0.500 0.623
H: 0.703 0.000 0.520
H: 0.703 0.500 0.020
H: 0.041 0.000 0.163
H: 0.041 0.500 0.663
H: 0.278 0.000 0.419
H: 0.278 0.500 0.919

---

c:
Here is a geometry-optimized GaMoH2 structure from the Alexandria database. Energies are from PBE.

Properties
- space-group type = No. 2
- DOS at the Fermi energy (states/eV per cell) = 1.96

a b c (Å): 3.416 4.978 4.994
angles (deg): 91.95 109.65 109.26
Sites, in units of the cell vectors:
Ga: 0.104 0.910 0.784
Ga: 0.896 0.090 0.216
Mo: 0.247 0.676 0.317
Mo: 0.753 0.324 0.683
H: 0.333 0.511 0.664
H: 0.667 0.489 0.336
H: 0.248 0.457 0.011
H: 0.752 0.543 0.989

---

d:
Here is a geometry-optimized GaMoH2 structure from the Alexandria database. Energies are from PBE.

Properties
- space-group type = No. 225
- DOS at the Fermi energy (states/eV per cell) = 4.23

a b c (Å): 3.743 3.743 3.743
angles (deg): 60.00 60.00 60.00
Sites, in units of the cell vectors:
H: 0.250 0.250 0.250
H: 0.750 0.750 0.750
Mo: 0.500 0.500 0.500
Ga: 0.000 0.000 0.000

---

Taking the most stable structure as the zero point, the relative energies in eV/atom are a 0.040; b 0.027; c 0.000; d 0.691.

---

a:
Here is a geometry-optimized GaMoH structure from the Alexandria database. Energies are from PBE.

Properties
- space-group type = No. 62
- DOS at the Fermi energy (states/eV per cell) = 4.38

a b c (Å): 3.113 5.235 8.503
angles (deg): 90.00 90.00 90.00
Sites, in units of the cell vectors:
Ga: 0.750 0.228 0.999
Ga: 0.250 0.772 0.001
Ga: 0.750 0.272 0.499
Ga: 0.250 0.728 0.501
Mo: 0.250 0.081 0.743
Mo: 0.750 0.919 0.257
Mo: 0.250 0.419 0.243
Mo: 0.750 0.581 0.757
H: 0.750 0.586 0.187
H: 0.250 0.414 0.813
H: 0.750 0.914 0.687
H: 0.250 0.086 0.313

---

b:
Here is a geometry-optimized GaMoH structure from the Alexandria database. Energies are from PBE.

Properties
- space-group type = No. 107
- DOS at the Fermi energy (states/eV per cell) = 2.57

a b c (Å): 2.760 2.760 5.144
angles (deg): 105.56 105.56 90.00
Sites, in units of the cell vectors:
H: 0.277 0.277 0.555
Mo: 0.721 0.721 0.442
Ga: 0.002 0.002 0.003

---

c:
Here is a geometry-optimized GaMoH structure from the Alexandria database. Energies are from PBE.

Properties
- space-group type = No. 8
- DOS at the Fermi energy (states/eV per cell) = 2.04

a b c (Å): 6.066 3.217 8.991
angles (deg): 90.00 128.49 90.00
Sites, in units of the cell vectors:
Ga: 0.580 0.000 0.776
Ga: 0.580 0.500 0.276
Ga: 0.397 0.000 0.411
Ga: 0.397 0.500 0.911
Mo: 0.133 0.000 0.012
Mo: 0.133 0.500 0.512
Mo: 0.835 0.000 0.170
Mo: 0.835 0.500 0.670
H: 0.035 0.000 0.767
H: 0.035 0.500 0.267
H: 0.012 0.000 0.547
H: 0.012 0.500 0.047

---

d:
Here is a geometry-optimized GaMoH structure from the Alexandria database. Energies are from PBE.

Properties
- space-group type = No. 44
- DOS at the Fermi energy (states/eV per cell) = 6.33

a b c (Å): 8.015 3.154 5.389
angles (deg): 90.00 90.00 90.00
Sites, in units of the cell vectors:
Ga: 0.000 0.000 0.014
Ga: 0.500 0.500 0.514
Ga: 0.000 0.500 0.447
Ga: 0.500 0.000 0.947
Mo: 0.266 0.000 0.316
Mo: 0.734 0.000 0.316
Mo: 0.766 0.500 0.816
Mo: 0.234 0.500 0.816
H: 0.824 0.000 0.643
H: 0.176 0.000 0.643
H: 0.324 0.500 0.143
H: 0.676 0.500 0.143

---

Taking the most stable structure as the zero point, the relative energies in eV/atom are a 0.108; b 0.234; c 0.047; d 0.000.

---

a:
Here is a geometry-optimized GaMoH structure from the Alexandria database. Energies are from PBE.

Properties
- space-group type = No. 156
- DOS at the Fermi energy (states/eV per cell) = 0.88

a b c (Å): 3.923 3.184 3.184
angles (deg): 120.00 90.00 90.00
Sites, in units of the cell vectors:
H: 0.104 0.000 0.000
Mo: 0.203 0.667 0.333
Ga: 0.694 0.333 0.667

---

b:
Here is a geometry-optimized GaMoH structure from the Alexandria database. Energies are from PBE.

Properties
- space-group type = No. 44
- DOS at the Fermi energy (states/eV per cell) = 3.95

a b c (Å): 3.149 8.372 5.181
angles (deg): 90.00 90.00 90.00
Sites, in units of the cell vectors:
Ga: 0.000 0.000 0.062
Ga: 0.500 0.500 0.562
Ga: 0.000 0.000 0.554
Ga: 0.500 0.500 0.054
Mo: 0.000 0.713 0.318
Mo: 0.000 0.287 0.318
Mo: 0.500 0.213 0.818
Mo: 0.500 0.787 0.818
H: 0.000 0.312 0.688
H: 0.000 0.688 0.688
H: 0.500 0.812 0.188
H: 0.500 0.188 0.188

---

c:
Here is a geometry-optimized GaMoH structure from the Alexandria database. Energies are from PBE.

Properties
- space-group type = No. 1
- DOS at the Fermi energy (states/eV per cell) = 2.34

a b c (Å): 3.172 4.794 5.201
angles (deg): 85.44 72.31 70.70
Sites, in units of the cell vectors:
Ga: 0.054 0.939 0.173
Ga: 0.891 0.578 0.861
Mo: 0.291 0.003 0.634
Mo: 0.668 0.487 0.401
H: 0.297 0.411 0.219
H: 0.646 0.209 0.718

---

d:
Here is a geometry-optimized GaMoH structure from the Alexandria database. Energies are from PBE.

Properties
- space-group type = No. 44
- DOS at the Fermi energy (states/eV per cell) = 4.87

a b c (Å): 5.298 3.077 8.394
angles (deg): 90.00 90.00 90.00
Sites, in units of the cell vectors:
Ga: 0.744 0.000 0.374
Ga: 0.256 0.000 0.374
Ga: 0.244 0.500 0.874
Ga: 0.756 0.500 0.874
Mo: 0.000 0.500 0.162
Mo: 0.500 0.000 0.662
Mo: 0.000 0.500 0.594
Mo: 0.500 0.000 0.094
H: 0.846 0.000 0.062
H: 0.154 0.000 0.062
H: 0.346 0.500 0.562
H: 0.654 0.500 0.562

---

Taking the most stable structure as the zero point, the relative energies in eV/atom are a 0.000; b 0.019; c 0.054; d 0.077.